1.
Ta2CdRe: PBEsol geometry, SCAN.

Cell lengths 3.2134, 4.5726, 9.3740 Å; angles 90.00, 90.00, 90.00 degrees
Closest atoms and distances in Å follow each position.
Positions (direct):
Ta 0.0000 0.0000 0.0000  2 Re 2.65, 6 Ta 2.79-2.84
Ta 0.0000 0.5000 0.2503  6 Ta 2.79-2.84, 2 Cd 2.98
Ta 0.5000 0.0000 0.2503  6 Ta 2.79-2.84, 2 Cd 2.98
Ta 0.5000 0.5000 0.0000  2 Re 2.65, 6 Ta 2.79-2.84
Cd 0.0000 0.0000 0.5179  4 Cd 2.79, 2 Re 2.89, 2 Ta 2.98
Cd 0.5000 0.5000 0.5179  4 Cd 2.79, 2 Re 2.89, 2 Ta 2.98
Re 0.0000 0.5000 0.7747  2 Ta 2.65, 4 Re 2.79, 2 Cd 2.89
Re 0.5000 0.0000 0.7747  2 Ta 2.65, 4 Re 2.79, 2 Cd 2.89

Results
formation energy: 0.120 eV per atom
calculated total energy: -468.393 eV/cell

2.
TaCd2Re: PBEsol geometry, SCAN.

Cell lengths 5.4914, 9.5894, 2.7459 Å; angles 90.00, 106.19, 90.00 degrees
Closest atoms and distances in Å follow each position.
Positions (direct):
Ta 0.0000 0.0000 0.0000  2 Re 2.75, 2 Ta 2.75, 4 Cd 2.91
Ta 0.5000 0.5000 0.0000  2 Re 2.75, 2 Ta 2.75, 4 Cd 2.91
Cd 0.2500 0.2500 0.5000  4 Cd 2.75, 2 Ta 2.91, 2 Re 2.91
Cd 0.2500 0.7500 0.5000  4 Cd 2.75, 2 Ta 2.91, 2 Re 2.91
Cd 0.7500 0.2500 0.5000  4 Cd 2.75, 2 Re 2.91, 2 Ta 2.91
Cd 0.7500 0.7500 0.5000  4 Cd 2.75, 2 Ta 2.91, 2 Re 2.91
Re 0.0000 0.5000 0.0000  2 Ta 2.75, 2 Re 2.75, 4 Cd 2.91
Re 0.5000 0.0000 0.0000  2 Ta 2.75, 2 Re 2.75, 4 Cd 2.91

Results
formation energy: 0.430 eV per atom
calculated total energy: -393.581 eV/cell